The following is a PBEsol calculation of SrScRh2 after structural relaxation, from Alexandria.

Calculated values
The value obtained for the energy of formation is -0.4823 eV/atom. The total magnetization comes out at 0.00 μB per atom.

POSCAR file:
```
SrScRh2
1.0
3.2698 0.0000 0.0000
0.0000 3.2698 0.0000
0.0000 0.0000 7.0858
Sr Sc Rh
1 1 2
Cartesian
0.0000 0.0000 0.0000 Sr
0.0000 0.0000 3.5429 Sc
1.6349 1.6349 2.0804 Rh
1.6349 1.6349 5.0055 Rh
```